Entry 1:
RbTl4Cl12: optimized geometry, PBE.

Cell lengths 8.8261, 8.8261, 8.8261 Å; angles 109.47, 109.47, 109.47 degrees
Element x y z (fractional)
Rb 0.0000 0.0000 0.0000
Tl 0.0000 0.5000 0.0000
Tl 0.5000 0.0000 0.0000
Tl 0.5000 0.5000 0.5000
Tl 0.0000 0.0000 0.5000
Cl 0.8162 0.2986 0.1148
Cl 0.2986 0.4824 0.1838
Cl 0.8852 0.1838 0.7014
Cl 0.2986 0.1148 0.8162
Cl 0.1148 0.8162 0.2986
Cl 0.7014 0.5176 0.8162
Cl 0.4824 0.1838 0.2986
Cl 0.5176 0.8162 0.7014
Cl 0.7014 0.8852 0.1838
Cl 0.8162 0.7014 0.5176
Cl 0.1838 0.2986 0.4824
Cl 0.1838 0.7014 0.8852

V = 529.3 Å³/f.u.
formation energy from raw total energies = -0.79 eV/atom



Entry 2:
Rb4TlCl5: optimized geometry, PBE.

Cell lengths 4.7121, 6.6530, 12.4550 Å; angles 105.49, 100.90, 90.00 degrees
Element x y z (fractional)
Rb 0.4011 0.4011 0.8022
Rb 0.8009 0.8009 0.6019
Rb 0.1991 0.1991 0.3981
Rb 0.5989 0.5989 0.1978
Tl 0.0000 0.0000 0.0000
Cl 0.5975 0.0975 0.1951
Cl 0.7997 0.2997 0.5995
Cl 0.2003 0.7003 0.4005
Cl 0.0000 0.5000 0.0000
Cl 0.4025 0.9025 0.8049

V = 369.0 Å³/f.u.
formation energy from raw total energies = -1.76 eV/atom



Entry 3:
RbTl2Cl4: optimized geometry, PBE.

Cell lengths 7.2533, 7.2533, 6.6530 Å; angles 90.00, 90.00, 90.00 degrees
Element x y z (fractional)
Rb 0.0000 0.0000 0.0000
Tl 0.5000 0.0000 0.5000
Tl 0.0000 0.5000 0.5000
Cl 0.7565 0.2435 0.6916
Cl 0.2435 0.2435 0.3084
Cl 0.2435 0.7565 0.6916
Cl 0.7565 0.7565 0.3084

V = 350.0 Å³/f.u.
formation energy from raw total energies = -1.06 eV/atom



Entry 4:
RbTlCl: optimized geometry, PBE.

Cell lengths 4.4069, 4.4195, 6.5583 Å; angles 90.00, 90.01, 90.00 degrees
Element x y z (fractional)
Tl 0.4083 0.5240 0.8830
Rb 0.9082 0.0238 0.3328
Cl 0.4083 0.5240 0.4189

polymorph energy (0 for the lowest one) = 173.2 meV/atom
V = 127.7 Å³/f.u.
formation energy from raw total energies = -0.95 eV/atom



Entry 5:
Rb4TlCl5: optimized geometry, PBE.

Cell lengths 6.6529, 8.1521, 8.1521 Å; angles 80.42, 65.92, 65.92 degrees
Element x y z (fractional)
Rb 0.4008 0.3989 0.8012
Rb 0.7997 0.8012 0.6011
Rb 0.2019 0.1988 0.3989
Rb 0.6009 0.6011 0.1988
Tl 0.0017 0.0000 0.0000
Cl 0.9029 0.3949 0.8010
Cl 0.2978 0.8010 0.6051
Cl 0.7039 0.1990 0.3949
Cl 0.0988 0.6051 0.1990
Cl 0.5019 0.0000 0.0000

V = 368.5 Å³/f.u.
formation energy from raw total energies = -1.76 eV/atom



Entry 6:
RbTl4Cl5: optimized geometry, PBE.

Cell lengths 4.6270, 6.5377, 12.2345 Å; angles 105.50, 100.90, 90.00 degrees
Element x y z (fractional)
Rb 0.0000 0.0000 0.0000
Tl 0.3993 0.3993 0.7985
Tl 0.7991 0.7991 0.5981
Tl 0.2009 0.2009 0.4019
Tl 0.6007 0.6007 0.2015
Cl 0.6025 0.1025 0.2049
Cl 0.8011 0.3011 0.6023
Cl 0.1989 0.6989 0.3977
Cl 0.0000 0.5000 0.0000
Cl 0.3975 0.8975 0.7951

V = 349.7 Å³/f.u.
formation energy from raw total energies = -1.20 eV/atom